The following is a PBE calculation of an optimized crystal structure of Be2BH, from Alexandria via LeMat-Bulk.

Output
Excess energy over the best structure of this formula in the dataset = 0.131 eV per atom
E = -0.30746 Ry per atom
Magnetization = 0.0 μB/cell
Symmetry = No. 1
Density of states at the Fermi level = 0.16 states/eV/atom

a b c (Å): 3.121 4.230 4.777
angles (deg): 103.77 108.40 91.47
Positions (direct):
Be 0.370 0.658 0.086
Be 0.134 0.545 0.591
Be 0.521 0.225 0.376
Be 0.246 0.159 0.856
B 0.731 0.463 0.808
B 0.904 0.348 0.143
H 0.563 0.886 0.381
H 0.964 0.043 0.067

=====

The following is a PBE calculation of an optimized crystal structure of Be2BH, from Alexandria via LeMat-Bulk.

Output
Excess energy over the best structure of this formula in the dataset = 0.354 eV per atom
E = -0.29109 Ry per atom
Magnetization = 0.0 μB/cell
Symmetry = No. 166
Density of states at the Fermi level = 0.28 states/eV/atom

a b c (Å): 2.629 2.629 5.503
angles (deg): 76.18 76.18 60.00
Positions (direct):
Be 0.089 0.089 0.733
Be 0.911 0.911 0.267
B 0.500 0.500 0.500
H 0.000 0.000 0.000

=====

The following is a PBE calculation of an optimized crystal structure of Be2BH, from Alexandria via LeMat-Bulk.

Output
Excess energy over the best structure of this formula in the dataset = 0.000 eV per atom
E = -0.31709 Ry per atom
Magnetization = 0.0 μB/cell
Symmetry = No. 12
Density of states at the Fermi level = 0.06 states/eV/atom

a b c (Å): 6.974 3.378 5.754
angles (deg): 90.00 102.04 90.00
Positions (direct):
Be 0.781 0.000 0.004
Be 0.219 0.000 0.996
Be 0.781 0.500 0.504
Be 0.219 0.500 0.496
Be 0.904 0.000 0.691
Be 0.096 0.000 0.309
Be 0.904 0.500 0.191
Be 0.096 0.500 0.809
B 0.807 0.000 0.335
B 0.193 0.000 0.665
B 0.807 0.500 0.835
B 0.193 0.500 0.165
H 0.362 0.000 0.796
H 0.638 0.000 0.204
H 0.362 0.500 0.296
H 0.638 0.500 0.704

=====

- Which formula does entry 3 have?
  Be2BH

=====

- Which value of E does entry 3 give?
  -0.31709 Ry per atom